1.
## Nb8Sn (PBE)

Data for crystalline Nb8Sn at its relaxed geometry.

Lattice parameters (Å, degrees): 7.236 7.236 7.236 93.15 93.15 152.87
Element x y z (fractional)
Nb 0.000 0.335 0.335
Nb 0.000 0.665 0.665
Nb 0.329 0.329 0.658
Nb 0.329 0.671 0.000
Nb 0.335 0.000 0.335
Nb 0.665 0.000 0.665
Nb 0.671 0.329 0.000
Nb 0.671 0.671 0.342
Sn 0.000 0.000 0.000

Properties
Space group: I4/mmm (139)
D(E_F): 9.61 states/eV per cell
Energy relative to the elements: -51.6 kJ/mol of formula units
Uncorrected energy: -85.10 eV/f.u.

2.
## Cd2IrAu (PBE)

Data for crystalline Cd2IrAu at its relaxed geometry.

Lattice parameters (Å, degrees): 2.900 2.900 9.897 90.00 90.00 117.85
Element x y z (fractional)
Cd 0.000 0.000 0.000
Cd 0.500 0.500 0.274
Ir 0.500 0.500 0.765
Au 0.000 0.000 0.527

Properties
Space group: Cmm2 (35)
D(E_F): 3.67 states/eV per cell
Energy relative to the elements: 93.5 kJ/mol of formula units
Uncorrected energy: -13.00 eV/f.u.
Excess energy over the best structure of this formula in the dataset: 212 meV per atom

3.
## OsPdS2 (PBE)

Data for crystalline OsPdS2 at its relaxed geometry.

Lattice parameters (Å, degrees): 4.310 4.310 4.310 60.00 60.00 60.00
Element x y z (fractional)
Os 0.000 0.000 0.000
Pd 0.500 0.500 0.500
S 0.250 0.250 0.250
S 0.750 0.750 0.750

Properties
Space group: Fm-3m (225)
D(E_F): 3.15 states/eV per cell
Uncorrected energy: -22.86 eV/f.u.
Raw formation energy: 0.45 eV per atom
Excess energy over the best structure of this formula in the dataset: 458 meV per atom

4.
## LiZn3As (PBE)

Data for crystalline LiZn3As at its relaxed geometry.

Lattice parameters (Å, degrees): 4.491 4.491 4.491 90.00 90.00 90.00
Element x y z (fractional)
Li 0.000 0.000 0.000
Zn 0.000 0.000 0.500
Zn 0.000 0.500 0.000
Zn 0.500 0.000 0.000
As 0.500 0.500 0.500

Properties
Space group: Pm-3m (221)
D(E_F): 1.87 states/eV per cell
Energy relative to the elements: 243.2 kJ/mol of formula units
Uncorrected energy: -7.86 eV/f.u.
Excess energy over the best structure of this formula in the dataset: 159 meV per atom

5.
## Cd2SnBi (PBE)

Data for crystalline Cd2SnBi at its relaxed geometry.

Lattice parameters (Å, degrees): 6.710 6.710 6.710 41.15 41.15 41.15
Element x y z (fractional)
Cd 0.000 0.000 0.000
Cd 0.178 0.178 0.178
Sn 0.584 0.584 0.584
Bi 0.753 0.753 0.753

Properties
Space group: R3m (160)
D(E_F): 1.31 states/eV per cell
Energy relative to the elements: 29.7 kJ/mol of formula units
Uncorrected energy: -9.41 eV/f.u.
Excess energy over the best structure of this formula in the dataset: 26 meV per atom

6.
## Mn2FeSiH (PBE)

Data for crystalline Mn2FeSiH at its relaxed geometry.

Lattice parameters (Å, degrees): 3.646 3.646 3.592 90.00 90.00 90.00
Element x y z (fractional)
Mn 0.000 0.500 0.000
Mn 0.500 0.000 0.000
Fe 0.000 0.000 0.500
Si 0.500 0.500 0.500
H 0.000 0.000 0.000

Properties
Space group: P4/mmm (123)
D(E_F): 2.57 states/eV per cell
Uncorrected energy: -36.74 eV/f.u.